Record 1
{
  "formula": "Li3ZnP2",
  "functional": "PBE-GGA",
  "state": "optimized geometry",
  "cell": [[5.326, 0.000, 0.000], [0.000, 5.403, 0.000], [-2.663, -2.702, 6.493]],
  "species": ["Li", "Li", "Li", "Li", "Li", "Li", "Zn", "Zn", "P", "P", "P", "P"],
  "fractional_positions": [[0.432, 0.681, 0.362], [0.568, 0.319, 0.638], [0.070, 0.819, 0.638], [0.930, 0.181, 0.362], [0.500, 0.750, 0.000], [0.500, 0.250, 0.000], [0.000, 0.250, 0.000], [0.000, 0.750, 0.000], [0.367, 0.122, 0.244], [0.633, 0.878, 0.756], [0.122, 0.378, 0.756], [0.878, 0.622, 0.244]],
  "magmom_total_mub_per_fu": 0.00,
  "n_ef_per_ev_cell": 4.41,
  "space_group": "Ibam",
  "formation_enthalpy_0k_ev_per_atom": -0.48
}

Record 2
{
  "formula": "LiZn3P",
  "functional": "PBE-GGA",
  "state": "optimized geometry",
  "cell": [[4.792, 0.000, 0.000], [0.000, 4.792, 0.000], [0.000, 0.000, 4.792]],
  "species": ["P", "Zn", "Zn", "Zn", "Li"],
  "fractional_positions": [[0.000, 0.000, 0.000], [0.000, 0.500, 0.000], [0.000, 0.000, 0.500], [0.500, 0.000, 0.000], [0.500, 0.500, 0.500]],
  "magmom_total_mub_per_fu": 0.00,
  "n_ef_per_ev_cell": 2.73,
  "space_group": "Pm-3m",
  "formation_enthalpy_0k_ev_per_atom": 0.31
}

Record 3
{
  "formula": "LiZn4P",
  "functional": "PBE-GGA",
  "state": "optimized geometry",
  "cell": [[0.000, 3.634, 3.634], [3.634, 0.000, 3.634], [3.634, 3.634, 0.000]],
  "species": ["Li", "Zn", "Zn", "Zn", "Zn", "P"],
  "fractional_positions": [[0.750, 0.750, 0.750], [0.875, 0.375, 0.375], [0.375, 0.375, 0.875], [0.375, 0.875, 0.375], [0.375, 0.375, 0.375], [0.000, 0.000, 0.000]],
  "magmom_total_mub_per_fu": 0.00,
  "n_ef_per_ev_cell": 1.41,
  "space_group": "F-43m",
  "formation_enthalpy_0k_ev_per_atom": 0.10
}

Record 4
{
  "formula": "Li2ZrP",
  "functional": "PBE-GGA",
  "state": "optimized geometry",
  "cell": [[-1.255, -3.527, 0.455], [1.577, -0.982, -3.258], [5.485, -2.085, -1.036]],
  "species": ["Li", "Li", "P", "Zr"],
  "fractional_positions": [[0.000, 0.000, 0.000], [0.500, 0.500, 0.000], [0.500, 0.500, 0.500], [0.000, 0.000, 0.500]],
  "magmom_total_mub_per_fu": 0.00,
  "n_ef_per_ev_cell": 1.32,
  "space_group": "Pmmm",
  "formation_enthalpy_0k_ev_per_atom": -0.53
}

What did the fourth record say?
{
  "formula": "Li2ZrP",
  "functional": "PBE-GGA",
  "state": "optimized geometry",
  "cell": [[-1.255, -3.527, 0.455], [1.577, -0.982, -3.258], [5.485, -2.085, -1.036]],
  "species": ["Li", "Li", "P", "Zr"],
  "fractional_positions": [[0.000, 0.000, 0.000], [0.500, 0.500, 0.000], [0.500, 0.500, 0.500], [0.000, 0.000, 0.500]],
  "magmom_total_mub_per_fu": 0.00,
  "n_ef_per_ev_cell": 1.32,
  "space_group": "Pmmm",
  "formation_enthalpy_0k_ev_per_atom": -0.53
}